# ScMn4Au

A relaxed structure of ScMn4Au (PBE, Alexandria).

```
data_ScMn4Au
_chemical_formula_sum 'Sc4 Mn16 Au4'
_cell_length_a 6.850
_cell_length_b 6.850
_cell_length_c 6.850
_cell_angle_alpha 90.00
_cell_angle_beta 90.00
_cell_angle_gamma 90.00
_space_group_name_H-M_alt 'F -4 3 m'
_space_group_IT_number 216
_space_group_name_Hall 'F -4 2 3'
loop_
_atom_site_label
_atom_site_type_symbol
_atom_site_fract_x
_atom_site_fract_y
_atom_site_fract_z
Sc1 Sc 0.000 0.000 0.000
Mn1 Mn 0.123 0.123 0.377
Au1 Au 0.250 0.250 0.750
```

## Properties
The value obtained for the formation energy is 0.055 eV/atom. The calculation puts the calculated density at 9.5 g/cm³.

***

# ZrNbPt6

A relaxed structure of ZrNbPt6 (PBE, Alexandria).

```
data_ZrNbPt6
_chemical_formula_sum 'Zr1 Nb1 Pt6'
_cell_length_a 4.025
_cell_length_b 4.025
_cell_length_c 8.075
_cell_angle_alpha 90.00
_cell_angle_beta 90.00
_cell_angle_gamma 90.00
_space_group_name_H-M_alt 'P 4/m m m'
_space_group_IT_number 123
_space_group_name_Hall '-P 4 2'
loop_
_atom_site_label
_atom_site_type_symbol
_atom_site_fract_x
_atom_site_fract_y
_atom_site_fract_z
Zr1 Zr 0.000 0.000 0.000
Nb1 Nb 0.000 0.000 0.500
Pt1 Pt 0.000 0.500 0.254
Pt2 Pt 0.500 0.500 0.000
Pt3 Pt 0.500 0.500 0.500
```

## Properties
The value obtained for the formation energy is -0.766 eV/atom. The calculation puts the calculated density at 17.2 g/cm³.

***

# Be2SiTe

A relaxed structure of Be2SiTe (PBE, Alexandria).

```
data_Be2SiTe
_chemical_formula_sum 'Be4 Si2 Te2'
_cell_length_a 3.862
_cell_length_b 6.172
_cell_length_c 5.918
_cell_angle_alpha 90.00
_cell_angle_beta 90.00
_cell_angle_gamma 90.00
_space_group_name_H-M_alt 'C m m m'
_space_group_IT_number 65
_space_group_name_Hall '-C 2 2'
loop_
_atom_site_label
_atom_site_type_symbol
_atom_site_fract_x
_atom_site_fract_y
_atom_site_fract_z
Be1 Be 0.000 0.000 0.189
Si1 Si 0.000 0.500 0.000
Te1 Te 0.000 0.500 0.500
```

## Properties
The formation energy from raw total energies comes out at 0.61 eV/atom. As for the energy above the lowest structure with this stoichiometry: 0.3640 eV per atom. The calculation puts the calculated density at 4.1 g/cm³.

***

# TaCu2Pd4

A relaxed structure of TaCu2Pd4 (PBE, Alexandria).

```
data_TaCu2Pd4
_chemical_formula_sum 'Ta2 Cu4 Pd8'
_cell_length_a 5.612
_cell_length_b 5.612
_cell_length_c 7.138
_cell_angle_alpha 90.00
_cell_angle_beta 90.00
_cell_angle_gamma 90.00
_space_group_name_H-M_alt 'I 4/m m m'
_space_group_IT_number 139
_space_group_name_Hall '-I 4 2'
loop_
_atom_site_label
_atom_site_type_symbol
_atom_site_fract_x
_atom_site_fract_y
_atom_site_fract_z
Ta1 Ta 0.000 0.000 0.000
Cu1 Cu 0.000 0.500 0.000
Pd1 Pd 0.250 0.250 0.250
```

## Properties
The value obtained for the formation energy is -0.120 eV/atom. As for the energy above the lowest structure with this stoichiometry: 0.0000 eV per atom. The calculation puts the calculated density at 10.8 g/cm³.